Entry 1:
{
  "formula": "Ni2SnSe3",
  "functional": "PBE",
  "state": "optimized geometry",
  "cell": [[1.831, -6.868, 0.000], [1.831, 6.868, 0.000], [0.000, 0.000, 9.127]],
  "species": ["Ni", "Ni", "Ni", "Ni", "Se", "Se", "Se", "Se", "Se", "Se", "Sn", "Sn"],
  "fractional_positions": [[0.000, 0.000, 0.000], [0.527, 0.473, 0.250], [0.000, 0.000, 0.500], [0.473, 0.527, 0.750], [0.630, 0.370, 0.046], [0.925, 0.075, 0.250], [0.630, 0.370, 0.454], [0.370, 0.630, 0.546], [0.075, 0.925, 0.750], [0.370, 0.630, 0.954], [0.235, 0.765, 0.250], [0.765, 0.235, 0.750]],
  "total_energy_ev_per_atom": -4.44,
  "spacegroup": "No. 63"
}



Entry 2:
{
  "formula": "AcNpTa",
  "functional": "PBE",
  "state": "optimized geometry",
  "cell": [[-0.800, -3.480, 3.575], [-2.644, 1.191, 4.138], [-4.629, -1.909, 0.676]],
  "species": ["Ac", "Np", "Ta"],
  "fractional_positions": [[0.500, 0.500, 0.500], [0.250, 0.250, 0.250], [0.000, 0.000, 0.000]],
  "spacegroup": "No. 216",
  "ef_ev_per_atom": 1.504
}



Entry 3:
{
  "formula": "LaBiAu2",
  "functional": "PBE",
  "state": "optimized geometry",
  "cell": [[-1.317, -0.082, -4.389], [-5.668, -0.862, 1.717], [-4.916, 3.106, 1.417]],
  "species": ["Au", "Au", "Bi", "La"],
  "fractional_positions": [[0.500, 0.078, 0.078], [0.000, 0.921, 0.921], [0.000, 0.645, 0.645], [0.500, 0.356, 0.356]],
  "total_energy_ev_per_atom": -4.43,
  "spacegroup": "No. 38"
}



Entry 4:
{
  "formula": "AcTmNp",
  "functional": "PBE",
  "state": "optimized geometry",
  "cell": [[0.000, 3.836, 3.836], [3.836, 0.000, 3.836], [3.836, 3.836, 0.000]],
  "species": ["Ac", "Np", "Tm"],
  "fractional_positions": [[0.250, 0.250, 0.250], [0.000, 0.000, 0.000], [0.750, 0.750, 0.750]],
  "relative_energy_mev_per_atom": 0,
  "spacegroup": "No. 216",
  "ef_ev_per_atom": 1.139
}



Entry 5:
{
  "formula": "TeAsPdO",
  "functional": "PBE",
  "state": "optimized geometry",
  "cell": [[-0.409, 3.867, 0.364], [-3.207, -0.543, 2.161], [4.993, -0.165, 7.367]],
  "species": ["As", "As", "O", "O", "Pd", "Pd", "Te", "Te"],
  "fractional_positions": [[0.250, 0.250, 0.315], [0.750, 0.750, 0.685], [0.750, 0.250, 0.000], [0.250, 0.750, 0.000], [0.750, 0.250, 0.500], [0.250, 0.750, 0.500], [0.750, 0.750, 0.146], [0.250, 0.250, 0.854]],
  "relative_energy_mev_per_atom": 75,
  "spacegroup": "No. 129"
}



Entry 6:
{
  "formula": "BaZnBAu",
  "functional": "PBE",
  "state": "optimized geometry",
  "cell": [[1.339, -0.407, 4.708], [-3.255, -1.501, 3.358], [0.456, -4.441, 2.049]],
  "species": ["Au", "B", "Ba", "Zn"],
  "fractional_positions": [[0.750, 0.750, 0.750], [0.500, 0.500, 0.500], [0.250, 0.250, 0.250], [0.000, 0.000, 0.000]],
  "relative_energy_mev_per_atom": 0,
  "spacegroup": "No. 216"
}



Repeat the fourth record exactly.
{
  "formula": "AcTmNp",
  "functional": "PBE",
  "state": "optimized geometry",
  "cell": [[0.000, 3.836, 3.836], [3.836, 0.000, 3.836], [3.836, 3.836, 0.000]],
  "species": ["Ac", "Np", "Tm"],
  "fractional_positions": [[0.250, 0.250, 0.250], [0.000, 0.000, 0.000], [0.750, 0.750, 0.750]],
  "relative_energy_mev_per_atom": 0,
  "spacegroup": "No. 216",
  "ef_ev_per_atom": 1.139
}